Here is an optimized crystal structure of AcY14Er from Alexandria via LeMat-Bulk. Energies are from PBE-GGA.

Cell lengths 11.604, 7.228, 12.515 Å; angles 90.00, 90.00, 90.00 degrees
Space group Amm2 (No. 38)
Inequivalent atoms, fractional coordinates:
1 Ac 0.000 0.000 0.000 (multiplicity 2)
2 Y 0.000 0.249 0.250 (multiplicity 4)
3 Y 0.249 0.000 0.666 (multiplicity 4)
4 Y 0.254 0.248 0.416 (multiplicity 8)
5 Y 0.255 0.000 0.168 (multiplicity 4)
6 Y 0.500 0.000 0.334 (multiplicity 2)
7 Y 0.500 0.000 0.833 (multiplicity 2)
8 Y 0.500 0.249 0.584 (multiplicity 4)
9 Er 0.000 0.000 0.499 (multiplicity 2)

Results
Formation energy, eV per formula unit: 0.24
Crystal system: orthorhombic
Raw total energy, eV per atom: -6.18

Here is an optimized crystal structure of AcY7Er12 from Alexandria via LeMat-Bulk. Energies are from PBE-GGA.

Cell lengths 11.273, 11.273, 11.273 Å; angles 90.00, 90.00, 90.00 degrees
Space group Im-3m (No. 229)
Inequivalent atoms, fractional coordinates:
1 Ac 0.000 0.000 0.000 (multiplicity 2)
2 Y 0.000 0.000 0.500 (multiplicity 6)
3 Y 0.250 0.250 0.250 (multiplicity 8)
4 Er 0.000 0.265 0.265 (multiplicity 24)

Results
Distance to the lowest polymorph of the same formula, meV per atom: 480
Formation energy, eV per formula unit: 14.17
Crystal system: cubic
Raw total energy, eV per atom: -4.50